(1)
Entry from the Alexandria database: a relaxed HfZrBe10 crystal (GGA-PBE).

CIF file:
```
data_HfZrBe10
_cell_length_a 3.447
_cell_length_b 4.549
_cell_length_c 7.869
_cell_angle_alpha 90.00
_cell_angle_beta 90.00
_cell_angle_gamma 90.00
_symmetry_space_group_name_H-M 'P m m m'
_symmetry_Int_Tables_number 47
loop_
_symmetry_equiv_pos_as_xyz
'x,y,z'
'-x,-y,-z'
'-x,-y,z'
'x,y,-z'
'x,-y,-z'
'-x,y,z'
'-x,y,-z'
'x,-y,z'
loop_
_atom_site_label
_atom_site_type_symbol
_atom_site_fract_x
_atom_site_fract_y
_atom_site_fract_z
Hf1 Hf 0.000 0.000 0.000
Zr1 Zr 0.000 0.500 0.500
Be1 Be 0.000 0.000 0.332
Be2 Be 0.000 0.500 0.166
Be3 Be 0.500 0.000 0.500
Be4 Be 0.500 0.249 0.248
Be5 Be 0.500 0.500 0.000
```

Results
Crystal system ... orthorhombic

=====

(2)
Entry from the Alexandria database: a relaxed Hf2ZrBe9 crystal (GGA-PBE).

CIF file:
```
data_Hf2ZrBe9
_cell_length_a 4.6799
_cell_length_b 4.6799
_cell_length_c 22.0807
_cell_angle_alpha 90.00
_cell_angle_beta 90.00
_cell_angle_gamma 120.00
_symmetry_space_group_name_H-M 'R -3 m'
_symmetry_Int_Tables_number 166
_symmetry_space_group_name_Hall '-R 3 2"'
loop_
_atom_site_label
_atom_site_type_symbol
_atom_site_fract_x
_atom_site_fract_y
_atom_site_fract_z
Hf1 Hf 0.0000 0.0000 0.1411
Zr1 Zr 0.0000 0.0000 0.0000
Be1 Be 0.0000 0.0000 0.3343
Be2 Be 0.0000 0.0000 0.5000
Be3 Be 0.0023 0.5011 0.9204
```

Results
Crystal system ... trigonal

=====

(3)
Entry from the Alexandria database: a relaxed BeHg7 crystal (GGA-PBE).

CIF file:
```
data_BeHg7
_cell_length_a 9.145
_cell_length_b 9.145
_cell_length_c 9.145
_cell_angle_alpha 90.00
_cell_angle_beta 90.00
_cell_angle_gamma 90.00
_symmetry_space_group_name_H-M 'F m -3 m'
_symmetry_Int_Tables_number 225
_symmetry_space_group_name_Hall '-F 4 2 3'
loop_
_atom_site_label
_atom_site_type_symbol
_atom_site_fract_x
_atom_site_fract_y
_atom_site_fract_z
Be1 Be 0.000 0.000 0.000
Hg1 Hg 0.000 0.000 0.500
Hg2 Hg 0.000 0.250 0.250
```

Results
Crystal system ... cubic

=====

(4)
Entry from the Alexandria database: a relaxed Be5Hg3 crystal (GGA-PBE).

CIF file:
```
data_Be5Hg3
_cell_length_a 7.8622
_cell_length_b 7.8622
_cell_length_c 4.2818
_cell_angle_alpha 90.00
_cell_angle_beta 90.00
_cell_angle_gamma 120.00
_symmetry_space_group_name_H-M 'P 63/m c m'
_symmetry_Int_Tables_number 193
_symmetry_space_group_name_Hall '-P 6c 2'
loop_
_atom_site_label
_atom_site_type_symbol
_atom_site_fract_x
_atom_site_fract_y
_atom_site_fract_z
Be1 Be 0.0000 0.1583 0.2500
Be2 Be 0.3333 0.6667 0.0000
Hg1 Hg 0.0000 0.3692 0.7500
```

Results
Crystal system ... hexagonal

=====

(5)
Entry from the Alexandria database: a relaxed Be4Hg crystal (GGA-PBE).

CIF file:
```
data_Be4Hg
_cell_length_a 5.343
_cell_length_b 5.343
_cell_length_c 5.343
_cell_angle_alpha 90.00
_cell_angle_beta 90.00
_cell_angle_gamma 90.00
_symmetry_space_group_name_H-M 'I m -3 m'
_symmetry_Int_Tables_number 229
_symmetry_space_group_name_Hall '-I 4 2 3'
loop_
_atom_site_label
_atom_site_type_symbol
_atom_site_fract_x
_atom_site_fract_y
_atom_site_fract_z
Be1 Be 0.250 0.250 0.250
Hg1 Hg 0.000 0.000 0.000
```

Results
Distance to the lowest polymorph of the same formula ... 0.0 meV per atom
Crystal system ... cubic

=====

(6)
Entry from the Alexandria database: a relaxed Be3Hg5 crystal (GGA-PBE).

CIF file:
```
data_Be3Hg5
_cell_length_a 7.0359
_cell_length_b 7.0359
_cell_length_c 7.0947
_cell_angle_alpha 90.00
_cell_angle_beta 90.00
_cell_angle_gamma 120.00
_symmetry_space_group_name_H-M 'P 63/m c m'
_symmetry_Int_Tables_number 193
_symmetry_space_group_name_Hall '-P 6c 2'
loop_
_atom_site_label
_atom_site_type_symbol
_atom_site_fract_x
_atom_site_fract_y
_atom_site_fract_z
Be1 Be 0.0000 0.4107 0.2500
Hg1 Hg 0.0000 0.2425 0.7500
Hg2 Hg 0.3333 0.6667 0.0000
```

Results
Distance to the lowest polymorph of the same formula ... 0.0 meV per atom
Crystal system ... hexagonal

=====

(7)
Entry from the Alexandria database: a relaxed Be3Hg2 crystal (GGA-PBE).

CIF file:
```
data_Be3Hg2
_cell_length_a 4.577
_cell_length_b 4.577
_cell_length_c 14.574
_cell_angle_alpha 90.00
_cell_angle_beta 90.00
_cell_angle_gamma 90.00
_symmetry_space_group_name_H-M 'I 41/a m d'
_symmetry_Int_Tables_number 141
loop_
_symmetry_equiv_pos_as_xyz
'x,y,z'
'-x,-y,-z'
'-y+1/4,x+3/4,z+1/4'
'y+1/4,-x+3/4,-z+1/4'
'-x+1/2,-y,z+1/2'
'x+1/2,y,-z+1/2'
'y+1/4,-x+1/4,z+3/4'
'-y+1/4,x+1/4,-z+3/4'
'x,-y,-z'
'-x,y,z'
'-y+1/4,-x+1/4,-z+3/4'
'y+1/4,x+1/4,z+3/4'
'-x+1/2,y,-z+1/2'
'x+1/2,-y,z+1/2'
'y+1/4,x+3/4,-z+1/4'
'-y+1/4,-x+3/4,z+1/4'
'x+1/2,y+1/2,z+1/2'
'-x+1/2,-y+1/2,-z+1/2'
'-y+3/4,x+1/4,z+3/4'
'y+3/4,-x+1/4,-z+3/4'
'-x,-y+1/2,z'
'x,y+1/2,-z'
'y+3/4,-x+3/4,z+1/4'
'-y+3/4,x+3/4,-z+1/4'
'x+1/2,-y+1/2,-z+1/2'
'-x+1/2,y+1/2,z+1/2'
'-y+3/4,-x+3/4,-z+1/4'
'y+3/4,x+3/4,z+1/4'
'-x,y+1/2,-z'
'x,-y+1/2,z'
'y+3/4,x+1/4,-z+3/4'
'-y+3/4,-x+1/4,z+3/4'
loop_
_atom_site_label
_atom_site_type_symbol
_atom_site_fract_x
_atom_site_fract_y
_atom_site_fract_z
Be1 Be 0.000 0.000 0.000
Be2 Be 0.000 0.250 0.875
Hg1 Hg 0.000 0.250 0.171
```

Results
Distance to the lowest polymorph of the same formula ... 0.0 meV per atom
Crystal system ... tetragonal

=====

(8)
Entry from the Alexandria database: a relaxed Be4Hg crystal (GGA-PBE).

CIF file:
```
data_Be4Hg
_cell_length_a 4.413
_cell_length_b 4.413
_cell_length_c 4.413
_cell_angle_alpha 90.00
_cell_angle_beta 90.00
_cell_angle_gamma 90.00
_symmetry_space_group_name_H-M 'P m -3 m'
_symmetry_Int_Tables_number 221
_symmetry_space_group_name_Hall '-P 4 2 3'
loop_
_atom_site_label
_atom_site_type_symbol
_atom_site_fract_x
_atom_site_fract_y
_atom_site_fract_z
Be1 Be 0.000 0.000 0.000
Be2 Be 0.000 0.500 0.500
Hg1 Hg 0.500 0.500 0.500
```

Results
Distance to the lowest polymorph of the same formula ... 327.4 meV per atom
Crystal system ... cubic

=====

(9)
Entry from the Alexandria database: a relaxed Be3Hg2 crystal (GGA-PBE).

CIF file:
```
data_Be3Hg2
_cell_length_a 3.0141
_cell_length_b 3.0141
_cell_length_c 28.8859
_cell_angle_alpha 90.00
_cell_angle_beta 90.00
_cell_angle_gamma 120.00
_symmetry_space_group_name_H-M 'R -3 m'
_symmetry_Int_Tables_number 166
_symmetry_space_group_name_Hall '-R 3 2"'
loop_
_atom_site_label
_atom_site_type_symbol
_atom_site_fract_x
_atom_site_fract_y
_atom_site_fract_z
Be1 Be 0.0000 0.0000 0.0000
Be2 Be 0.0000 0.0000 0.1934
Hg1 Hg 0.0000 0.0000 0.4012
```

Results
Distance to the lowest polymorph of the same formula ... 337.0 meV per atom
Crystal system ... trigonal

=====

(10)
Entry from the Alexandria database: a relaxed Be3Hg2 crystal (GGA-PBE).

CIF file:
```
data_Be3Hg2
_cell_length_a 4.1238
_cell_length_b 4.1238
_cell_length_c 5.1590
_cell_angle_alpha 90.00
_cell_angle_beta 90.00
_cell_angle_gamma 120.00
_symmetry_space_group_name_H-M 'P -3 m 1'
_symmetry_Int_Tables_number 164
_symmetry_space_group_name_Hall '-P 3 2"'
loop_
_atom_site_label
_atom_site_type_symbol
_atom_site_fract_x
_atom_site_fract_y
_atom_site_fract_z
Be1 Be 0.0000 0.0000 0.0000
Be2 Be 0.3333 0.6667 0.3406
Hg1 Hg 0.3333 0.6667 0.8014
```

Results
Distance to the lowest polymorph of the same formula ... 199.8 meV per atom
Crystal system ... trigonal

=====

(11)
Entry from the Alexandria database: a relaxed Be5Hg4 crystal (GGA-PBE).

CIF file:
```
data_Be5Hg4
_cell_length_a 7.4037
_cell_length_b 7.4037
_cell_length_c 5.7628
_cell_angle_alpha 90.00
_cell_angle_beta 90.00
_cell_angle_gamma 120.00
_symmetry_space_group_name_H-M 'P 63/m c m'
_symmetry_Int_Tables_number 193
_symmetry_space_group_name_Hall '-P 6c 2'
loop_
_atom_site_label
_atom_site_type_symbol
_atom_site_fract_x
_atom_site_fract_y
_atom_site_fract_z
Be1 Be 0.0000 0.3111 0.2500
Be2 Be 0.3333 0.6667 0.0000
Hg1 Hg 0.0000 0.0000 0.0000
Hg2 Hg 0.0000 0.3715 0.7500
```

Results
Distance to the lowest polymorph of the same formula ... 141.9 meV per atom
Crystal system ... hexagonal

=====

(12)
Entry from the Alexandria database: a relaxed Be5Hg4 crystal (GGA-PBE).

CIF file:
```
data_Be5Hg4
_cell_length_a 8.442
_cell_length_b 8.442
_cell_length_c 3.802
_cell_angle_alpha 90.00
_cell_angle_beta 90.00
_cell_angle_gamma 90.00
_symmetry_space_group_name_H-M 'I 4/m m m'
_symmetry_Int_Tables_number 139
_symmetry_space_group_name_Hall '-I 4 2'
loop_
_atom_site_label
_atom_site_type_symbol
_atom_site_fract_x
_atom_site_fract_y
_atom_site_fract_z
Be1 Be 0.000 0.000 0.000
Be2 Be 0.133 0.133 0.500
Hg1 Hg 0.000 0.298 0.000
```

Results
Distance to the lowest polymorph of the same formula ... 0.0 meV per atom
Crystal system ... tetragonal

=====

| no. | energy of formation (eV/atom) |
| --- | --- |
| 1 | -0.248 |
| 2 | -0.167 |
| 3 | 0.312 |
| 4 | 0.482 |
| 5 | 0.992 |
| 6 | 0.406 |
| 7 | 0.310 |
| 8 | 1.319 |
| 9 | 0.646 |
| 10 | 0.509 |
| 11 | 0.600 |
| 12 | 0.458 |